Record 1
DFT (PBE) results for crystalline Ca2NdZn3 at its relaxed geometry.

Results
The energy of formation comes out at -1.668 eV per formula unit. The calculation puts the volume at 149 Å³ per cell. Its space-group type is P-3m1 (164). The density of states at the Fermi level is 0.735 states/eV per atom. The calculation puts the distance to the lowest polymorph of the same formula at 0 meV per atom.

a = 5.1961 Å, b = 5.1961 Å, c = 6.3930 Å
α = 90.00°, β = 90.00°, γ = 120.00°
Element x y z (fractional)
Ca1 0.3333 0.6667 0.1592
Ca2 0.6667 0.3333 0.8408
Nd1 0.0000 0.0000 0.5000
Zn1 0.0000 0.0000 0.0000
Zn2 0.3333 0.6667 0.6581
Zn3 0.6667 0.3333 0.3419

---

Record 2
DFT (PBE) results for crystalline SrCaY2P at its relaxed geometry.

Results
The energy of formation comes out at 6.827 eV per formula unit. The calculation puts the volume at 174 Å³ per cell. Its space-group type is P4/mmm (123). The density of states at the Fermi level is 0.999 states/eV per atom.

a = 5.5988 Å, b = 5.5988 Å, c = 5.5518 Å
α = 90.00°, β = 90.00°, γ = 90.00°
Element x y z (fractional)
Sr1 0.0000 0.0000 0.0000
Ca1 0.0000 0.0000 0.5000
Y1 0.0000 0.5000 0.0000
Y2 0.5000 0.0000 0.0000
P1 0.5000 0.5000 0.5000

---

Record 3
DFT (PBE) results for crystalline Al2Te4O11 at its relaxed geometry.

Results
The calculation puts the volume at 505 Å³ per cell. Its space-group type is P2_1/c (14). The density of states at the Fermi level is 0.000 states/eV per atom. Its raw formation energy is -1602.5 meV/atom.

a = 6.9534 Å, b = 7.6332 Å, c = 9.6721 Å
α = 90.00°, β = 100.16°, γ = 90.00°
Element x y z (fractional)
Al1 0.1824 0.0007 0.1141
Al2 0.1824 0.4993 0.6141
Al3 0.8176 0.5007 0.3859
Al4 0.8176 0.9993 0.8859
Te1 0.1752 0.6449 0.9139
Te2 0.1752 0.8551 0.4139
Te3 0.3517 0.1453 0.8245
Te4 0.3517 0.3547 0.3245
Te5 0.6483 0.6453 0.6755
Te6 0.6483 0.8547 0.1755
Te7 0.8248 0.1449 0.5861
Te8 0.8248 0.3551 0.0861
O1 0.0000 0.0000 0.5000
O2 0.0000 0.5000 0.0000
O3 0.0330 0.6320 0.7296
O4 0.0330 0.8680 0.2296
O5 0.0580 0.6331 0.4496
O6 0.0580 0.8669 0.9496
O7 0.2924 0.1142 0.2860
O8 0.2924 0.3858 0.7860
O9 0.3312 0.1487 0.0170
O10 0.3312 0.3513 0.5170
O11 0.3712 0.6834 0.6467
O12 0.3712 0.8166 0.1467
O13 0.6288 0.1834 0.8533
O14 0.6288 0.3166 0.3533
O15 0.6688 0.6487 0.4830
O16 0.6688 0.8513 0.9830
O17 0.7076 0.6142 0.2140
O18 0.7076 0.8858 0.7140
O19 0.9420 0.1331 0.0504
O20 0.9420 0.3669 0.5504
O21 0.9670 0.1320 0.7704
O22 0.9670 0.3680 0.2704

---

Record 4
DFT (PBE) results for crystalline Pm2SnMoN5 at its relaxed geometry.

Results
The calculation puts the volume at 246 Å³ per cell. Its space-group type is Cmc2_1 (36). The density of states at the Fermi level is 0.222 states/eV per atom. Its raw formation energy is -626.9 meV/atom.

a = 7.1923 Å, b = 7.1923 Å, c = 10.3344 Å
α = 90.00°, β = 90.00°, γ = 152.60°
Element x y z (fractional)
Pm1 0.1101 0.8899 0.5000
Pm2 0.1444 0.8556 0.0981
Pm3 0.8556 0.1444 0.5981
Pm4 0.8899 0.1101 0.0000
Sn1 0.2186 0.7814 0.8152
Sn2 0.7814 0.2186 0.3152
Mo1 0.4807 0.5193 0.2680
Mo2 0.5193 0.4807 0.7680
N1 0.0456 0.9544 0.8517
N2 0.2819 0.7181 0.4625
N3 0.3183 0.6817 0.1846
N4 0.3753 0.6247 0.8138
N5 0.4912 0.5088 0.5913
N6 0.5088 0.4912 0.0913
N7 0.6247 0.3753 0.3138
N8 0.6817 0.3183 0.6846
N9 0.7181 0.2819 0.9625
N10 0.9544 0.0456 0.3517

---

Record 5
DFT (PBE) results for crystalline SrLi2CaNi at its relaxed geometry.

Results
The energy of formation comes out at 0.731 eV per formula unit. The calculation puts the volume at 139 Å³ per cell. Its space-group type is P4/mmm (123). The density of states at the Fermi level is 0.633 states/eV per atom.

a = 5.2035 Å, b = 5.2035 Å, c = 5.1402 Å
α = 90.00°, β = 90.00°, γ = 90.00°
Element x y z (fractional)
Sr1 0.0000 0.0000 0.0000
Li1 0.0000 0.5000 0.5000
Li2 0.5000 0.0000 0.5000
Ca1 0.5000 0.5000 0.0000
Ni1 0.5000 0.5000 0.5000

---

Record 6
DFT (PBE) results for crystalline Sc2CuNiH at its relaxed geometry.

Results
The calculation puts the volume at 69 Å³ per cell. Its space-group type is P4/mmm (123). The density of states at the Fermi level is 0.594 states/eV per atom. The calculation puts the distance to the lowest polymorph of the same formula at 0 meV per atom.

a = 4.5108 Å, b = 4.5108 Å, c = 3.3722 Å
α = 90.00°, β = 90.00°, γ = 90.00°
Element x y z (fractional)
Sc1 0.0000 0.5000 0.0000
Sc2 0.5000 0.0000 0.0000
Cu1 0.0000 0.0000 0.5000
Ni1 0.5000 0.5000 0.5000
H1 0.5000 0.5000 0.0000

---

Record 7
DFT (PBE) results for crystalline Tm11Al9Cu4 at its relaxed geometry.

Results
The energy of formation comes out at -9.576 eV per formula unit. The calculation puts the volume at 509 Å³ per cell. Its space-group type is Cmmm (65). The density of states at the Fermi level is 0.520 states/eV per atom.

a = 12.5171 Å, b = 12.5171 Å, c = 3.5271 Å
α = 90.00°, β = 90.00°, γ = 112.82°
Element x y z (fractional)
Tm1 0.0000 0.0000 0.0000
Tm2 0.0645 0.4114 0.0000
Tm3 0.1618 0.8382 0.0000
Tm4 0.3062 0.3062 0.0000
Tm5 0.3714 0.6286 0.0000
Tm6 0.4114 0.0645 0.0000
Tm7 0.5886 0.9355 0.0000
Tm8 0.6286 0.3714 0.0000
Tm9 0.6938 0.6938 0.0000
Tm10 0.8382 0.1618 0.0000
Tm11 0.9355 0.5886 0.0000
Al1 0.0773 0.2171 0.5000
Al2 0.1635 0.6323 0.5000
Al3 0.2171 0.0773 0.5000
Al4 0.3677 0.8365 0.5000
Al5 0.5000 0.5000 0.5000
Al6 0.6323 0.1635 0.5000
Al7 0.7829 0.9227 0.5000
Al8 0.8365 0.3677 0.5000
Al9 0.9227 0.7829 0.5000
Cu1 0.2456 0.4482 0.5000
Cu2 0.4482 0.2456 0.5000
Cu3 0.5518 0.7544 0.5000
Cu4 0.7544 0.5518 0.5000

---

Record 8
DFT (PBE) results for crystalline SiAs4Cl at its relaxed geometry.

Results
The calculation puts the volume at 134 Å³ per cell. Its space-group type is F-43m (216). The density of states at the Fermi level is 0.543 states/eV per atom. Its raw formation energy is 460.2 meV/atom.

a = 5.7507 Å, b = 5.7507 Å, c = 5.7507 Å
α = 60.00°, β = 60.00°, γ = 60.00°
Element x y z (fractional)
Si1 0.0000 0.0000 0.0000
As1 0.1698 0.6101 0.6101
As2 0.6101 0.1698 0.6101
As3 0.6101 0.6101 0.1698
As4 0.6101 0.6101 0.6101
Cl1 0.2500 0.2500 0.2500

---

Record 9
DFT (PBE) results for crystalline Dy2HoF11 at its relaxed geometry.

Results
The calculation puts the volume at 472 Å³ per cell. Its space-group type is Ibam (72). The density of states at the Fermi level is 0.803 states/eV per atom. Its raw formation energy is -3461.7 meV/atom.

a = 8.6127 Å, b = 8.6127 Å, c = 8.6127 Å
α = 121.97°, β = 107.34°, γ = 99.93°
Element x y z (fractional)
Dy1 0.1898 0.1599 0.3497
Dy2 0.3102 0.6599 0.9702
Dy3 0.6898 0.3401 0.0298
Dy4 0.8102 0.8401 0.6503
Ho1 0.2500 0.7500 0.5000
Ho2 0.7500 0.2500 0.5000
F1 0.0000 0.0000 0.0000
F2 0.0262 0.4577 0.7714
F3 0.0585 0.8389 0.6289
F4 0.1863 0.9577 0.4315
F5 0.1937 0.8911 0.0848
F6 0.2100 0.4296 0.3711
F7 0.2900 0.6611 0.2196
F8 0.3063 0.3911 0.6974
F9 0.3137 0.7452 0.7714
F10 0.4415 0.0704 0.7804
F11 0.4738 0.2452 0.4315
F12 0.5000 0.5000 0.0000
F13 0.5262 0.7548 0.5685
F14 0.5585 0.9296 0.2196
F15 0.6863 0.2548 0.2286
F16 0.6937 0.6089 0.3026
F17 0.7100 0.3389 0.7804
F18 0.7900 0.5704 0.6289
F19 0.8063 0.1089 0.9152
F20 0.8137 0.0423 0.5685
F21 0.9415 0.1611 0.3711
F22 0.9738 0.5423 0.2286

---

Record 10
DFT (PBE) results for crystalline LiNdTmPd at its relaxed geometry.

Results
The energy of formation comes out at -1.500 eV per formula unit. The calculation puts the volume at 371 Å³ per cell. Its space-group type is F-43m (216). The density of states at the Fermi level is 0.710 states/eV per atom.

a = 7.1867 Å, b = 7.1867 Å, c = 7.1867 Å
α = 90.00°, β = 90.00°, γ = 90.00°
Element x y z (fractional)
Li1 0.0000 0.0000 0.0000
Li2 0.0000 0.5000 0.5000
Li3 0.5000 0.0000 0.5000
Li4 0.5000 0.5000 0.0000
Nd1 0.2500 0.2500 0.2500
Nd2 0.2500 0.7500 0.7500
Nd3 0.7500 0.2500 0.7500
Nd4 0.7500 0.7500 0.2500
Tm1 0.2500 0.2500 0.7500
Tm2 0.2500 0.7500 0.2500
Tm3 0.7500 0.2500 0.2500
Tm4 0.7500 0.7500 0.7500
Pd1 0.0000 0.0000 0.5000
Pd2 0.0000 0.5000 0.0000
Pd3 0.5000 0.0000 0.0000
Pd4 0.5000 0.5000 0.5000

---

Record 11
DFT (PBE) results for crystalline Re3As at its relaxed geometry.

Results
The energy of formation comes out at 2.359 eV per formula unit. The calculation puts the volume at 120 Å³ per cell. Its space-group type is P6_3/mmc (194). The density of states at the Fermi level is 1.119 states/eV per atom. The calculation puts the distance to the lowest polymorph of the same formula at 432 meV per atom.

a = 5.6396 Å, b = 5.6396 Å, c = 4.3563 Å
α = 90.00°, β = 90.00°, γ = 120.00°
Element x y z (fractional)
Re1 0.1687 0.3374 0.2500
Re2 0.1687 0.8313 0.2500
Re3 0.3374 0.1687 0.7500
Re4 0.6626 0.8313 0.2500
Re5 0.8313 0.1687 0.7500
Re6 0.8313 0.6626 0.7500
As1 0.3333 0.6667 0.7500
As2 0.6667 0.3333 0.2500

---

Record 12
DFT (PBE) results for crystalline Pr2ErCl8 at its relaxed geometry.

Results
The calculation puts the volume at 291 Å³ per cell. Its space-group type is C2/m (12). The density of states at the Fermi level is 0.365 states/eV per atom. Its raw formation energy is -2008.7 meV/atom.

a = 7.5391 Å, b = 7.5391 Å, c = 5.8740 Å
α = 100.38°, β = 100.38°, γ = 112.70°
Element x y z (fractional)
Pr1 0.1916 0.8084 0.0000
Pr2 0.8084 0.1916 0.0000
Er1 0.5000 0.5000 0.5000
Cl1 0.1531 0.1531 0.3148
Cl2 0.1600 0.4202 0.8928
Cl3 0.2893 0.7107 0.5000
Cl4 0.4202 0.1600 0.8928
Cl5 0.5798 0.8400 0.1072
Cl6 0.7107 0.2893 0.5000
Cl7 0.8400 0.5798 0.1072
Cl8 0.8469 0.8469 0.6852